DFT (PBE with a Hubbard U) results for a relaxed structure of SmCr2AsO8.

Calculated density   5.25 g cm⁻³
Total magnetic moment   4.0 μB/cell
Total energy   -7.054 eV per atom

Structure (POSCAR):
```
SmCr2AsO8
1.0
3.6236 -3.0189 0.0000
3.6236 3.0189 0.0000
-1.0588 0.0000 6.6058
Sm Cr As O
1 2 1 8
Cartesian
0.0000 0.0000 0.0000
2.3505 0.0000 5.0348
3.8379 0.0000 1.5710
-0.5294 0.0000 3.3029
3.2403 1.7206 1.8906
2.9481 1.7206 4.7153
1.2377 0.0000 3.5288
1.3366 0.0000 6.5215
4.8518 0.0000 0.0843
4.9506 0.0000 3.0770
3.2403 -1.7206 1.8906
2.9481 -1.7206 4.7153
```